The following is a DFT calculation (GGA-PBE) of a relaxed Nd6Y2Sc crystal.

a b c (Å): 7.2643 8.5760 15.0657
angles (deg): 139.82 90.00 90.00
Fractional coordinates of all 18 atoms:
Nd 0.9999 0.2407 0.8305
Nd 0.0001 0.7593 0.1695
Nd 0.4999 0.2593 0.6695
Y 0.0000 0.3184 0.2758
Y 0.5000 0.1816 0.2242
Y 0.5000 0.8184 0.7758
Nd 0.2612 0.2331 0.4432
Sc 0.0000 0.0000 0.5000
Nd 0.5001 0.7407 0.3305
Nd 0.7612 0.2669 0.0568
Nd 0.7388 0.2331 0.4432
Nd 0.2612 0.7669 0.5568
Nd 0.7388 0.7669 0.5568
Nd 0.2388 0.2669 0.0568
Y 0.0000 0.6816 0.7242
Sc 0.5000 0.5000 0.0000
Nd 0.7612 0.7331 0.9432
Nd 0.2388 0.7331 0.9432

Results
Calculated volume, A^3/atom: 33.6
Total magnetic moment, μB per cell: 0.00
Symmetry: C2/m, No. 12
ΔE to the lowest computed polymorph, meV per atom: 58

***

The following is a DFT calculation (GGA-PBE) of a relaxed NdY6Sc3 crystal.

a b c (Å): 6.2807 10.7407 10.7407
angles (deg): 122.91 90.00 90.00
Fractional coordinates of all 20 atoms:
Y 0.1785 0.6854 0.3146
Y 0.3574 0.5679 0.9723
Y 0.8574 0.9723 0.5679
Nd 0.2112 0.2120 0.7880
Y 0.0256 0.3631 0.2951
Sc 0.1385 0.3850 0.6150
Sc 0.9222 0.0792 0.3101
Y 0.5256 0.2951 0.3631
Sc 0.9222 0.6899 0.9208
Y 0.3466 0.9554 0.0446
Y 0.8574 0.4321 0.0277
Y 0.5256 0.6369 0.7049
Nd 0.7112 0.7880 0.2120
Sc 0.4222 0.3101 0.0792
Sc 0.4222 0.9208 0.6899
Y 0.6785 0.3146 0.6854
Y 0.8466 0.0446 0.9554
Sc 0.6385 0.6150 0.3850
Y 0.3574 0.0277 0.4321
Y 0.0256 0.7049 0.6369

Results
Calculated volume, A^3/atom: 30.4
Total magnetic moment, μB per cell: 0.00
Symmetry: Cmc2_1, No. 36
ΔE to the lowest computed polymorph, meV per atom: 0

***

The following is a DFT calculation (GGA-PBE) of a relaxed Nd4Y6Sc crystal.

a b c (Å): 5.7352 5.6280 25.9494
angles (deg): 90.00 90.00 120.63
Fractional coordinates of all 22 atoms:
Nd 0.5281 0.0562 0.8775
Nd 0.5281 0.0562 0.6225
Y 0.1463 0.2925 0.1842
Nd 0.1562 0.3124 0.4534
Sc 0.8179 0.6358 0.2500
Y 0.8537 0.7075 0.8158
Sc 0.1821 0.3642 0.7500
Y 0.8110 0.6221 0.3897
Nd 0.1562 0.3124 0.0466
Y 0.1463 0.2925 0.3158
Y 0.5162 0.0324 0.7500
Y 0.8110 0.6221 0.1103
Nd 0.4719 0.9438 0.3775
Y 0.5000 0.0000 0.0000
Y 0.1890 0.3779 0.8897
Y 0.1890 0.3779 0.6103
Nd 0.8438 0.6876 0.5466
Y 0.5000 0.0000 0.5000
Nd 0.8438 0.6876 0.9534
Y 0.8537 0.7075 0.6842
Nd 0.4719 0.9438 0.1225
Y 0.4838 0.9676 0.2500

Results
Calculated volume, A^3/atom: 32.8
Total DFT energy (no corrections), eV per atom: -5.71
Total magnetic moment, μB per cell: 0.00
Symmetry: Cmcm, No. 63

***

The following is a DFT calculation (GGA-PBE) of a relaxed NdY5Sc2 crystal.

a b c (Å): 5.3546 6.3699 16.0379
angles (deg): 90.00 90.00 114.85
Fractional coordinates of all 16 atoms:
Sc 0.2266 0.4531 0.8546
Sc 0.7734 0.5469 0.3546
Y 0.0556 0.1112 0.0979
Y 0.4748 0.9497 0.7500
Sc 0.7734 0.5469 0.1454
Y 0.6430 0.2861 0.9609
Y 0.0556 0.1112 0.4021
Y 0.3570 0.7139 0.0391
Y 0.6430 0.2861 0.5391
Nd 0.7529 0.5058 0.7500
Y 0.9444 0.8888 0.5979
Y 0.9444 0.8888 0.9021
Nd 0.2471 0.4942 0.2500
Y 0.3570 0.7139 0.4609
Y 0.5252 0.0503 0.2500
Sc 0.2266 0.4531 0.6454

Results
Calculated volume, A^3/atom: 31.0
Total magnetic moment, μB per cell: 0.00
Symmetry: Cmcm, No. 63
ΔE to the lowest computed polymorph, meV per atom: 99

***

The following is a DFT calculation (GGA-PBE) of a relaxed Nd4Y4Sc crystal.

a b c (Å): 5.0753 8.0275 8.0275
angles (deg): 84.26 71.57 71.57
Fractional coordinates of all 9 atoms:
Nd 0.3302 0.6698 0.6698
Y 0.6636 0.0000 0.6728
Y 0.3364 0.3272 0.0000
Nd 0.0000 0.3302 0.6698
Nd 0.6698 0.3302 0.3302
Nd 0.0000 0.6698 0.3302
Sc 0.0000 0.0000 0.0000
Y 0.6636 0.6728 0.0000
Y 0.3364 0.0000 0.3272

Results
Calculated volume, A^3/atom: 32.7
Total DFT energy (no corrections), eV per atom: -5.66
Total magnetic moment, μB per cell: 0.00
Symmetry: I4/mmm, No. 139

***

The following is a DFT calculation (GGA-PBE) of a relaxed Nd4Y10Sc crystal.

a b c (Å): 7.6822 8.9747 8.9747
angles (deg): 79.45 64.66 64.66
Fractional coordinates of all 15 atoms:
Nd 0.7692 0.4620 0.9995
Nd 0.2312 0.9995 0.5380
Y 0.4922 0.7915 0.7917
Y 0.7500 0.5000 0.5000
Y 0.5078 0.2085 0.2083
Y 0.9245 0.7915 0.7917
Y 0.7163 0.2083 0.7915
Y 0.2500 0.5000 0.5000
Y 0.2839 0.2083 0.7915
Y 0.2837 0.7917 0.2085
Sc 0.0000 0.0000 0.0000
Y 0.7161 0.7917 0.2085
Nd 0.2308 0.5380 0.0005
Nd 0.7688 0.0005 0.4620
Y 0.0755 0.2085 0.2083

Results
Calculated volume, A^3/atom: 33.7
Total DFT energy (no corrections), eV per atom: -5.74
Total magnetic moment, μB per cell: 0.00
Symmetry: I4/mmm, No. 139

***

The following is a DFT calculation (GGA-PBE) of a relaxed Nd5Y4Sc crystal.

a b c (Å): 3.6298 3.6298 24.9380
angles (deg): 90.00 90.00 90.00
Fractional coordinates of all 10 atoms:
Nd 0.5000 0.5000 0.0915
Y 0.0000 0.0000 0.1933
Nd 0.5000 0.5000 0.7047
Nd 0.5000 0.5000 0.9085
Y 0.0000 0.0000 0.8067
Nd 0.5000 0.5000 0.2953
Y 0.0000 0.0000 0.6023
Sc 0.0000 0.0000 0.0000
Y 0.0000 0.0000 0.3977
Nd 0.5000 0.5000 0.5000

Results
Calculated volume, A^3/atom: 32.9
Total magnetic moment, μB per cell: 0.00
Symmetry: P4/mmm, No. 123
ΔE to the lowest computed polymorph, meV per atom: 0

***

The following is a DFT calculation (GGA-PBE) of a relaxed Nd7Y4Sc crystal.

a b c (Å): 5.9333 8.7974 9.6650
angles (deg): 61.41 72.12 70.29
Fractional coordinates of all 12 atoms:
Nd 0.0719 0.5658 0.2904
Y 0.5846 0.2785 0.5523
Nd 0.8313 0.9566 0.3809
Nd 0.2821 0.5586 0.8772
Y 0.7125 0.8068 0.7682
Nd 0.1687 0.0434 0.6191
Nd 0.9281 0.4342 0.7096
Sc 0.0000 0.0000 0.0000
Y 0.2875 0.1932 0.2318
Y 0.4154 0.7215 0.4477
Nd 0.5000 0.0000 0.0000
Nd 0.7179 0.4414 0.1228

Results
Calculated volume, A^3/atom: 34.2
Total magnetic moment, μB per cell: 0.00
Symmetry: C2/m, No. 12
ΔE to the lowest computed polymorph, meV per atom: 206

***

The following is a DFT calculation (GGA-PBE) of a relaxed Nd4Y5Sc crystal.

a b c (Å): 3.6190 9.5553 9.9223
angles (deg): 80.35 100.51 90.00
Fractional coordinates of all 10 atoms:
Y 0.1141 0.7145 0.2282
Nd 0.3216 0.0053 0.6431
Nd 0.9352 0.7782 0.8704
Y 0.7846 0.6416 0.5692
Y 0.5000 0.5000 0.0000
Nd 0.6784 0.9947 0.3569
Y 0.8859 0.2855 0.7718
Y 0.2154 0.3584 0.4308
Sc 0.5000 0.0000 0.0000
Nd 0.0648 0.2218 0.1296

Results
Calculated volume, A^3/atom: 33.2
Total magnetic moment, μB per cell: 0.00
Symmetry: C2/m, No. 12
ΔE to the lowest computed polymorph, meV per atom: 0

***

The following is a DFT calculation (GGA-PBE) of a relaxed Nd4Y15Sc crystal.

a b c (Å): 5.0780 5.0780 25.2771
angles (deg): 90.00 90.00 90.00
Fractional coordinates of all 20 atoms:
Nd 0.0000 0.0000 0.1973
Y 0.5000 0.0000 0.2974
Y 0.0000 0.5000 0.5000
Y 0.5000 0.5000 0.0000
Y 0.0000 0.5000 0.0951
Y 0.5000 0.5000 0.8038
Y 0.0000 0.5000 0.7026
Nd 0.0000 0.0000 0.6014
Y 0.0000 0.5000 0.9049
Y 0.5000 0.0000 0.7026
Sc 0.0000 0.0000 0.0000
Y 0.5000 0.0000 0.5000
Y 0.5000 0.0000 0.0951
Y 0.0000 0.5000 0.2974
Nd 0.0000 0.0000 0.8027
Y 0.5000 0.5000 0.1962
Y 0.5000 0.5000 0.6011
Nd 0.0000 0.0000 0.3986
Y 0.5000 0.5000 0.3989
Y 0.5000 0.0000 0.9049

Results
Calculated volume, A^3/atom: 32.6
Total DFT energy (no corrections), eV per atom: -6.09
Total magnetic moment, μB per cell: 0.00
Symmetry: P4/mmm, No. 123

***

The following is a DFT calculation (GGA-PBE) of a relaxed NdYSc4 crystal.

a b c (Å): 6.3168 6.3168 6.3168
angles (deg): 60.00 60.00 60.00
Fractional coordinates of all 6 atoms:
Nd 0.2500 0.2500 0.2500
Sc 0.6249 0.6249 0.1254
Y 0.0000 0.0000 0.0000
Sc 0.1254 0.6249 0.6249
Sc 0.6249 0.6249 0.6249
Sc 0.6249 0.1254 0.6249

Results
Calculated volume, A^3/atom: 29.7
Total magnetic moment, μB per cell: 6.46
Symmetry: F-43m, No. 216
ΔE to the lowest computed polymorph, meV per atom: 149

***

The following is a DFT calculation (GGA-PBE) of a relaxed Nd2YSc crystal.

a b c (Å): 3.6253 3.6253 9.6129
angles (deg): 90.00 90.00 90.00
Fractional coordinates of all 4 atoms:
Nd 0.0000 0.0000 0.7630
Y 0.5000 0.5000 0.5000
Sc 0.5000 0.5000 0.0000
Nd 0.0000 0.0000 0.2370

Results
Calculated volume, A^3/atom: 31.6
Total magnetic moment, μB per cell: 0.00
Symmetry: P4/mmm, No. 123
ΔE to the lowest computed polymorph, meV per atom: 0

***

The following is a DFT calculation (GGA-PBE) of a relaxed Nd2Y6Sc crystal.

a b c (Å): 6.2695 13.3189 9.5843
angles (deg): 117.89 116.02 60.55
Fractional coordinates of all 18 atoms:
Nd 0.4145 0.6081 0.2726
Y 0.2615 0.3599 0.9238
Y 0.0766 0.1278 0.5651
Sc 0.2875 0.0956 0.9277
Y 0.4246 0.1609 0.3498
Y 0.5754 0.8391 0.6502
Nd 0.8937 0.4093 0.5179
Y 0.2992 0.8924 0.2534
Y 0.8014 0.1553 0.1557
Y 0.9234 0.8722 0.4349
Y 0.7385 0.6401 0.0762
Y 0.0744 0.6405 0.8823
Nd 0.1063 0.5907 0.4821
Nd 0.5855 0.3919 0.7274
Y 0.7008 0.1076 0.7466
Y 0.9256 0.3595 0.1177
Y 0.1986 0.8447 0.8443
Sc 0.7125 0.9044 0.0723

Results
Calculated volume, A^3/atom: 32.9
Total magnetic moment, μB per cell: 0.00
Symmetry: P-1, No. 2
ΔE to the lowest computed polymorph, meV per atom: 22

***

The following is a DFT calculation (GGA-PBE) of a relaxed NdY3Sc crystal.

a b c (Å): 6.5525 11.0078 11.0078
angles (deg): 52.86 86.17 86.17
Fractional coordinates of all 20 atoms:
Nd 0.2500 0.8950 0.1050
Y 0.4023 0.2519 0.0486
Y 0.0977 0.9514 0.7481
Sc 0.6784 0.3520 0.2150
Y 0.5987 0.5206 0.6315
Y 0.9023 0.0486 0.2519
Y 0.9147 0.4203 0.9105
Y 0.4147 0.9105 0.4203
Sc 0.8216 0.7850 0.6480
Nd 0.7500 0.7537 0.2463
Y 0.5853 0.0895 0.5797
Y 0.5977 0.7481 0.9514
Y 0.4013 0.4794 0.3685
Y 0.0987 0.6315 0.5206
Y 0.9013 0.3685 0.4794
Nd 0.2500 0.2463 0.7537
Sc 0.1784 0.2150 0.3520
Nd 0.7500 0.1050 0.8950
Sc 0.3216 0.6480 0.7850
Y 0.0853 0.5797 0.0895

Results
Calculated volume, A^3/atom: 31.6
Total magnetic moment, μB per cell: 0.00
Symmetry: C2/c, No. 15
ΔE to the lowest computed polymorph, meV per atom: 0

***

The following is a DFT calculation (GGA-PBE) of a relaxed NdYSc3 crystal.

a b c (Å): 6.3006 9.6326 9.6326
angles (deg): 81.60 79.82 79.82
Fractional coordinates of all 20 atoms:
Sc 0.3447 0.3906 0.0206
Sc 0.6439 0.8772 0.7184
Sc 0.4467 0.2055 0.5803
Sc 0.6553 0.6094 0.9794
Sc 0.1553 0.9794 0.6094
Sc 0.8447 0.0206 0.3906
Sc 0.9467 0.5803 0.2055
Y 0.0419 0.6779 0.5310
Nd 0.2500 0.8106 0.1894
Sc 0.1439 0.7184 0.8772
Y 0.4581 0.4690 0.3221
Nd 0.2500 0.0789 0.9211
Y 0.5419 0.5310 0.6779
Nd 0.7500 0.1894 0.8106
Sc 0.0533 0.4197 0.7945
Sc 0.5533 0.7945 0.4197
Y 0.9581 0.3221 0.4690
Nd 0.7500 0.9211 0.0789
Sc 0.8561 0.2816 0.1228
Sc 0.3561 0.1228 0.2816

Results
Calculated volume, A^3/atom: 28.1
Total DFT energy (no corrections), eV per atom: -5.98
Total magnetic moment, μB per cell: 0.00
Symmetry: C2/c, No. 15

***

The following is a DFT calculation (GGA-PBE) of a relaxed Nd2Y4Sc crystal.

a b c (Å): 3.6086 3.6075 20.0637
angles (deg): 95.16 90.00 120.01
Fractional coordinates of all 7 atoms:
Sc 0.8099 0.6199 0.6678
Nd 0.7173 0.4346 0.3869
Y 0.0017 0.0035 0.2410
Nd 0.6176 0.2352 0.0922
Y 0.4325 0.8650 0.5349
Y 0.5203 0.0405 0.8007
Y 0.9021 0.8042 0.9445

Results
Calculated volume, A^3/atom: 32.1
Total magnetic moment, μB per cell: 0.01
Symmetry: Cm, No. 8
ΔE to the lowest computed polymorph, meV per atom: 0

***

The following is a DFT calculation (GGA-PBE) of a relaxed Nd2Y5Sc4 crystal.

a b c (Å): 6.6260 6.8815 9.0010
angles (deg): 79.20 68.40 61.22
Fractional coordinates of all 11 atoms:
Y 0.7588 0.8454 0.1698
Y 0.0000 0.5000 0.5000
Nd 0.3162 0.6154 0.7522
Y 0.2260 0.8454 0.1698
Y 0.2412 0.1546 0.8302
Sc 0.7239 0.0241 0.5281
Nd 0.6838 0.3846 0.2478
Y 0.7740 0.1546 0.8302
Sc 0.7303 0.6713 0.8681
Sc 0.2761 0.9759 0.4719
Sc 0.2697 0.3287 0.1319

Results
Calculated volume, A^3/atom: 30.4
Total DFT energy (no corrections), eV per atom: -5.92
Total magnetic moment, μB per cell: 0.00
Symmetry: C2/m, No. 12

***

The following is a DFT calculation (GGA-PBE) of a relaxed Nd3YSc3 crystal.

a b c (Å): 5.5616 9.3798 9.3798
angles (deg): 120.00 90.00 90.00
Fractional coordinates of all 14 atoms:
Sc 0.7500 0.7768 0.8189
Nd 0.7500 0.9059 0.5378
Sc 0.2500 0.2232 0.1811
Nd 0.2500 0.3682 0.9059
Sc 0.2500 0.9579 0.7768
Sc 0.7500 0.0421 0.2232
Nd 0.7500 0.6318 0.0941
Nd 0.2500 0.5378 0.6318
Y 0.7500 0.3333 0.6667
Y 0.2500 0.6667 0.3333
Nd 0.7500 0.4622 0.3682
Sc 0.7500 0.1811 0.9579
Sc 0.2500 0.8189 0.0421
Nd 0.2500 0.0941 0.4622

Results
Calculated volume, A^3/atom: 30.3
Total DFT energy (no corrections), eV per atom: -5.62
Total magnetic moment, μB per cell: 0.00
Symmetry: P6_3/m, No. 176

***

The following is a DFT calculation (GGA-PBE) of a relaxed Nd2YSc crystal.

a b c (Å): 3.5777 6.0735 6.1394
angles (deg): 100.19 90.00 107.13
Fractional coordinates of all 4 atoms:
Sc 0.5000 0.0000 0.0000
Y 0.0000 0.0000 0.5000
Nd 0.2437 0.4874 0.2446
Nd 0.7563 0.5126 0.7554

Results
Calculated volume, A^3/atom: 31.3
Total magnetic moment, μB per cell: 0.00
Symmetry: C2/m, No. 12
ΔE to the lowest computed polymorph, meV per atom: 3